Density functional theory data (PBE) for a relaxed Li2FeNi crystal. Values from VASP.

* symmetry: No. 8
* ΔH_f (0 K): 0.55 eV/f.u.

```
&SYSTEM
  ibrav = 0, nat = 4, ntyp = 3
/
ATOMIC_SPECIES
Li 6.94 Li.upf
Fe 55.84 Fe.upf
Ni 58.69 Ni.upf
CELL_PARAMETERS angstrom
4.168 -1.253 0.000
4.168 1.253 0.000
-0.543 0.000 4.760
ATOMIC_POSITIONS angstrom
Li 0.000 0.000 0.000
Li 1.591 0.000 3.670
Fe 3.794 0.000 2.226
Ni 6.028 0.000 1.400
```